--- one ---
Density functional theory data (PBE) for a relaxed structure of LiTlCoW.

As for the density: 13.01 g/cm³.

The structure belongs to space group F-43m (No. 216); the cell edges are 6.143, 6.143 and 6.143 Å and the angles 90.00°, 90.00° and 90.00°. The inequivalent atoms are Li at (0.000, 0.000, 0.000), Tl at (0.250, 0.250, 0.250), Co at (0.000, 0.000, 0.500) and W at (0.250, 0.250, 0.750).



--- two ---
Density functional theory data (PBE) for a relaxed structure of LiTlCoW.

As for the density: 12.16 g/cm³.

The structure belongs to space group F-43m (No. 216); the cell edges are 6.284, 6.284 and 6.284 Å and the angles 90.00°, 90.00° and 90.00°. The inequivalent atoms are Li at (0.000, 0.000, 0.000), Tl at (0.000, 0.000, 0.500), Co at (0.250, 0.250, 0.250) and W at (0.250, 0.250, 0.750).



Short version: one, two, most stable first.



--- one ---
Density functional theory data (PBE) for a relaxed structure of LiZrZnCo.

As for the density: 6.43 g/cm³.

The structure belongs to space group F-43m (No. 216); the cell edges are 6.124, 6.124 and 6.124 Å and the angles 90.00°, 90.00° and 90.00°. The inequivalent atoms are Li at (0.000, 0.000, 0.000), Zr at (0.250, 0.250, 0.750), Zn at (0.250, 0.250, 0.250) and Co at (0.000, 0.000, 0.500).



--- two ---
Density functional theory data (PBE) for a relaxed structure of LiZrZnCo.

As for the density: 6.30 g/cm³.

The structure belongs to space group F-43m (No. 216); the cell edges are 6.167, 6.167 and 6.167 Å and the angles 90.00°, 90.00° and 90.00°. The inequivalent atoms are Li at (0.000, 0.000, 0.000), Zr at (0.250, 0.250, 0.250), Zn at (0.000, 0.000, 0.500) and Co at (0.250, 0.250, 0.750).



Short version: one, two, most stable first.



--- one ---
Density functional theory data (PBE) for a relaxed structure of LuMgTlCo.

As for the density: 9.92 g/cm³.

The structure belongs to space group F-43m (No. 216); the cell edges are 6.765, 6.765 and 6.765 Å and the angles 90.00°, 90.00° and 90.00°. The inequivalent atoms are Lu at (0.000, 0.000, 0.000), Mg at (0.250, 0.250, 0.750), Tl at (0.250, 0.250, 0.250) and Co at (0.000, 0.000, 0.500).



--- two ---
Density functional theory data (PBE) for a relaxed structure of LuMgTlCo.

As for the density: 10.13 g/cm³.

The structure belongs to space group F-43m (No. 216); the cell edges are 6.718, 6.718 and 6.718 Å and the angles 90.00°, 90.00° and 90.00°. The inequivalent atoms are Lu at (0.000, 0.000, 0.000), Mg at (0.250, 0.250, 0.250), Tl at (0.000, 0.000, 0.500) and Co at (0.250, 0.250, 0.750).



Short version: two, one, most stable first.



--- one ---
Density functional theory data (PBE) for a relaxed structure of LuCoSnMo.

As for the density: 10.10 g/cm³.

The structure belongs to space group F-43m (No. 216); the cell edges are 6.657, 6.657 and 6.657 Å and the angles 90.00°, 90.00° and 90.00°. The inequivalent atoms are Lu at (0.000, 0.000, 0.000), Co at (0.000, 0.000, 0.500), Sn at (0.250, 0.250, 0.250) and Mo at (0.250, 0.250, 0.750).



--- two ---
Density functional theory data (PBE) for a relaxed structure of LuCoSnMo.

As for the density: 10.54 g/cm³.

The structure belongs to space group F-43m (No. 216); the cell edges are 6.564, 6.564 and 6.564 Å and the angles 90.00°, 90.00° and 90.00°. The inequivalent atoms are Lu at (0.000, 0.000, 0.000), Co at (0.250, 0.250, 0.750), Sn at (0.000, 0.000, 0.500) and Mo at (0.250, 0.250, 0.250).



Short version: two, one, most stable first.